Computed, not measured: a geometry-optimized Pr12HoIn4O3 structure at the GGA-PBE level of DFT.

- E_form (uncorrected) (meV/atom) = -786
- Fermi-level density of states (states/eV per cell) = 33.5
- DFT total energy (eV per formula unit) = -103.490

abc: 10.4354 10.4354 10.4354
angles: 90.00 90.00 90.00
With the nearest neighbours (Å) after each atom.
Space group Im-3m (No. 229)
One atom of each set of equivalent atoms:
Pr  0.0000  0.0000  0.2748 (multiplicity 12)  1 O 2.35
Pr  0.0000  0.2500  0.5000 (multiplicity 12)  2 O 2.61
Ho  0.0000  0.0000  0.0000 (multiplicity 2)  6 Pr 2.87
In  0.2500  0.2500  0.2500 (multiplicity 8)  12 Pr 3.69-3.70
O  0.0000  0.0000  0.5000 (multiplicity 6)  6 Pr 2.35-2.61